1.
Computed, not measured: an optimized crystal structure of Nd4ZnCo at the PBE level of DFT.

Energy of formation: -0.15 eV/atom
Total moment: 0.000 Bohr magnetons per cell
Symmetry: F-43m
Calculated volume: 26.68 A^3/atom

Cell lengths 9.6745, 9.6745, 9.6745 Å; angles 60.00, 60.00, 60.00 degrees
Sites, in units of the cell vectors:
Nd (0.4006, 0.7981, 0.4006)
Co (0.6089, 0.6089, 0.1734)
Nd (0.5580, 0.9420, 0.5580)
Zn (0.1733, 0.1733, 0.4802)
Nd (0.7981, 0.4006, 0.4006)
Nd (0.8112, 0.1888, 0.1888)
Nd (0.8112, 0.1888, 0.8112)
Nd (0.9420, 0.9420, 0.5580)
Nd (0.1888, 0.8112, 0.8112)
Nd (0.1888, 0.1888, 0.8112)
Zn (0.1733, 0.4802, 0.1733)
Nd (0.9420, 0.5580, 0.5580)
Nd (0.5580, 0.5580, 0.9420)
Co (0.1734, 0.6089, 0.6089)
Zn (0.4802, 0.1733, 0.1733)
Nd (0.4006, 0.4006, 0.4006)
Nd (0.5580, 0.9420, 0.9420)
Zn (0.1733, 0.1733, 0.1733)
Nd (0.4006, 0.4006, 0.7981)
Nd (0.8112, 0.8112, 0.1888)
Nd (0.1888, 0.8112, 0.1888)
Co (0.6089, 0.1734, 0.6089)
Nd (0.9420, 0.5580, 0.9420)
Co (0.6089, 0.6089, 0.6089)

---

2.
Computed, not measured: an optimized crystal structure of Nd3ZnCo at the PBE level of DFT.

Energy of formation: -0.13 eV/atom
Total moment: 0.002 Bohr magnetons per cell
Symmetry: P1
Calculated volume: 26.35 A^3/atom

Cell lengths 3.8079, 8.3665, 8.5001 Å; angles 87.92, 89.94, 103.15 degrees
Sites, in units of the cell vectors:
Nd (0.0755, 0.1839, 0.4090)
Nd (0.7766, 0.5850, 0.4108)
Nd (0.2673, 0.5693, 0.0105)
Nd (0.6237, 0.2819, 0.7581)
Nd (0.4195, 0.8719, 0.6638)
Zn (0.4265, 0.8856, 0.2889)
Co (0.2414, 0.5165, 0.6516)
Zn (0.6190, 0.2689, 0.1330)
Co (0.8013, 0.6369, 0.7693)
Nd (0.9690, 0.9704, 0.0128)

---

3.
Computed, not measured: an optimized crystal structure of Nd2Zn2Co at the PBE level of DFT.

Energy of formation: -0.24 eV/atom
Total moment: 0.000 Bohr magnetons per cell
Symmetry: C2/m
Calculated volume: 22.44 A^3/atom

Cell lengths 5.9389, 5.9389, 11.7530 Å; angles 64.08, 64.08, 37.60 degrees
Sites, in units of the cell vectors:
Zn (0.3760, 0.3760, 0.0884)
Nd (0.0752, 0.0752, 0.1413)
Nd (0.2106, 0.2106, 0.3807)
Zn (0.6240, 0.6240, 0.9116)
Co (0.2731, 0.2731, 0.8038)
Co (0.7269, 0.7269, 0.1962)
Nd (0.7894, 0.7894, 0.6193)
Zn (0.4932, 0.4932, 0.3841)
Zn (0.5068, 0.5068, 0.6159)
Nd (0.9248, 0.9248, 0.8587)

---

4.
Computed, not measured: an optimized crystal structure of Nd4Zn5Co2 at the PBE level of DFT.

Energy of formation: -0.20 eV/atom
Total moment: 0.543 Bohr magnetons per cell
Symmetry: P2/m
Calculated volume: 21.93 A^3/atom

Cell lengths 3.9238, 6.9693, 8.8531 Å; angles 94.74, 90.00, 90.00 degrees
Last column: magnetic moment on the atom in μB.
Sites, in units of the cell vectors:
Zn (0.0000, 0.8095, 0.8456)  0.00
Nd (0.5000, 0.8261, 0.1458)  -0.03
Nd (0.5000, 0.2468, 0.4321)  -0.02
Zn (0.0000, 0.5679, 0.3088)  0.00
Co (0.0000, 0.9435, 0.3716)  0.38
Zn (0.0000, 0.5000, 0.0000)  0.00
Zn (0.0000, 0.1905, 0.1544)  0.00
Nd (0.5000, 0.1739, 0.8542)  -0.03
Zn (0.0000, 0.4321, 0.6912)  0.00
Co (0.0000, 0.0565, 0.6284)  0.38
Nd (0.5000, 0.7532, 0.5679)  -0.02

---

5.
Computed, not measured: an optimized crystal structure of Nd3ZnCo2 at the PBE level of DFT.

Energy of formation: -0.03 eV/atom
Total moment: 0.000 Bohr magnetons per cell
Symmetry: P2_1/m
Calculated volume: 23.80 A^3/atom

Cell lengths 7.7267, 8.8063, 8.7298 Å; angles 90.00, 105.93, 90.00 degrees
Sites, in units of the cell vectors:
Nd (0.6706, 0.0384, 0.9126)
Nd (0.8298, 0.9616, 0.5877)
Nd (0.1702, 0.0384, 0.4123)
Nd (0.4040, 0.7502, 0.6576)
Co (0.2175, 0.2500, 0.1910)
Co (0.7502, 0.9999, 0.2501)
Nd (0.3294, 0.9616, 0.0874)
Co (0.2825, 0.7500, 0.3090)
Nd (0.3298, 0.5384, 0.0877)
Nd (0.1706, 0.4616, 0.4126)
Zn (0.8979, 0.2502, 0.1841)
Zn (0.6021, 0.7502, 0.3159)
Zn (0.3979, 0.2498, 0.6841)
Co (0.7175, 0.2500, 0.6910)
Nd (0.9040, 0.7498, 0.1576)
Zn (0.1021, 0.7498, 0.8159)
Co (0.7498, 0.4999, 0.2499)
Co (0.7825, 0.7500, 0.8090)
Nd (0.8294, 0.5384, 0.5874)
Nd (0.5960, 0.2498, 0.3424)
Nd (0.0960, 0.2502, 0.8424)
Nd (0.6702, 0.4616, 0.9123)
Co (0.2502, 0.5001, 0.7501)
Co (0.2498, 0.0001, 0.7499)

---

6.
Computed, not measured: an optimized crystal structure of NdZn2Co at the PBE level of DFT.

Energy of formation: -0.12 eV/atom
Total moment: 0.000 Bohr magnetons per cell
Symmetry: R-3m
Calculated volume: 19.12 A^3/atom

Cell lengths 4.1591, 4.1591, 5.6420 Å; angles 68.37, 68.37, 60.00 degrees
Sites, in units of the cell vectors:
Co (0.5000, 0.5000, 0.5000)
Zn (0.2039, 0.2039, 0.3884)
Nd (0.0000, 0.0000, 0.0000)
Zn (0.7961, 0.7961, 0.6116)

---

no.,DFT total energy (eV/f.u.)
1,-28.353
2,-23.324
3,-20.382
4,-41.864
5,-29.964
6,-14.921